Entry 1:
Material: Sm2In
Method: DFT, PBE
State: relaxed

a = 5.4998 Å, b = 5.4998 Å, c = 6.8406 Å
α = 90.00°, β = 90.00°, γ = 120.00°
Fractional positions:
Sm (0.0000, 0.0000, 0.0000)
Sm (0.0000, 0.0000, 0.5000)
Sm (0.3333, 0.6667, 0.2500)
Sm (0.6667, 0.3333, 0.7500)
In (0.3333, 0.6667, 0.7500)
In (0.6667, 0.3333, 0.2500)

- Raw total energy: -4.405 eV/atom
- Magnetization: 0.233 μB/atom
- Space group: P6_3/mmc
- Crystal system: hexagonal

=====

Entry 2:
Material: SmSnPb
Method: DFT, PBE
State: relaxed

a = 5.2483 Å, b = 5.2483 Å, c = 5.2483 Å
α = 60.00°, β = 60.00°, γ = 60.00°
Fractional positions:
Sm (0.0000, 0.0000, 0.0000)
Sn (0.5000, 0.5000, 0.5000)
Pb (0.2500, 0.2500, 0.2500)

- Magnetization: 0.000 μB/atom
- Offset from the most stable computed form: 86 meV/atom
- Space group: F-43m
- Crystal system: cubic

=====

Entry 3:
Material: Fe3Se
Method: DFT, PBE
State: relaxed

a = 4.6688 Å, b = 4.6688 Å, c = 4.6688 Å
α = 134.23°, β = 134.23°, γ = 66.73°
Fractional positions:
Fe (0.0000, 0.0000, 0.0000)
Fe (0.2500, 0.7500, 0.5000)
Fe (0.7500, 0.2500, 0.5000)
Se (0.5000, 0.5000, 0.0000)

- Magnetization: 1.965 μB/atom
- Offset from the most stable computed form: 53 meV/atom
- Space group: I4/mmm
- Crystal system: tetragonal

=====

Entry 4:
Material: PmSmPu
Method: DFT, PBE
State: relaxed

a = 5.3277 Å, b = 5.3277 Å, c = 5.3277 Å
α = 60.00°, β = 60.00°, γ = 60.00°
Fractional positions:
Pm (0.0000, 0.0000, 0.0000)
Sm (0.2500, 0.2500, 0.2500)
Pu (0.7500, 0.7500, 0.7500)

- Energy of formation from the pure elements: 1.61 eV per atom
- Magnetization: 0.181 μB/atom
- Offset from the most stable computed form: 0 meV/atom
- Space group: F-43m
- Crystal system: cubic

=====

Entry 5:
Material: SmTcO3
Method: DFT, PBE
State: relaxed

a = 5.9022 Å, b = 7.7156 Å, c = 5.3404 Å
α = 90.00°, β = 90.00°, γ = 90.00°
Fractional positions:
Sm (0.0813, 0.2500, 0.0330)
Sm (0.4187, 0.7500, 0.5330)
Sm (0.5813, 0.2500, 0.4670)
Sm (0.9187, 0.7500, 0.9670)
Tc (0.0000, 0.0000, 0.5000)
Tc (0.0000, 0.5000, 0.5000)
Tc (0.5000, 0.0000, 0.0000)
Tc (0.5000, 0.5000, 0.0000)
O (0.0451, 0.7500, 0.3727)
O (0.1961, 0.5541, 0.8185)
O (0.1961, 0.9459, 0.8185)
O (0.3039, 0.0541, 0.3185)
O (0.3039, 0.4459, 0.3185)
O (0.4549, 0.2500, 0.8727)
O (0.5451, 0.7500, 0.1273)
O (0.6961, 0.5541, 0.6815)
O (0.6961, 0.9459, 0.6815)
O (0.8039, 0.0541, 0.1815)
O (0.8039, 0.4459, 0.1815)
O (0.9549, 0.2500, 0.6273)

- Raw total energy: -8.226 eV/atom
- Magnetization: 0.389 μB/atom
- Space group: Pnma
- Crystal system: orthorhombic

=====

Entry 6:
Material: PmNiW
Method: DFT, PBE
State: relaxed

a = 4.5811 Å, b = 4.5811 Å, c = 4.5811 Å
α = 60.00°, β = 60.00°, γ = 60.00°
Fractional positions:
Pm (0.0000, 0.0000, 0.0000)
Ni (0.7500, 0.7500, 0.7500)
W (0.2500, 0.2500, 0.2500)

- Energy of formation from the pure elements: 1.68 eV per atom
- Magnetization: 0.888 μB/atom
- Offset from the most stable computed form: 878 meV/atom
- Space group: F-43m
- Crystal system: cubic

=====

Entry 7:
Material: TbHgNO
Method: DFT, PBE
State: relaxed

a = 3.9671 Å, b = 6.7973 Å, c = 6.5513 Å
α = 90.00°, β = 90.00°, γ = 90.00°
Fractional positions:
Tb (0.0000, 0.1434, 0.0000)
Tb (0.0000, 0.8566, 0.5000)
Hg (0.5000, 0.4936, 0.6889)
Hg (0.5000, 0.5064, 0.1889)
N (0.5000, 0.3155, 0.9413)
N (0.5000, 0.6845, 0.4413)
O (0.0000, 0.1107, 0.3184)
O (0.0000, 0.8893, 0.8184)

- Magnetization: 0.000 μB/atom
- Offset from the most stable computed form: 0 meV/atom
- Space group: Pmc2_1
- Crystal system: orthorhombic

=====

Entry 8:
Material: TbTmPbC
Method: DFT, PBE
State: relaxed

a = 3.6192 Å, b = 3.6192 Å, c = 16.0520 Å
α = 90.00°, β = 90.00°, γ = 120.00°
Fractional positions:
Tb (0.3333, 0.6667, 0.0840)
Tb (0.6667, 0.3333, 0.9160)
Tm (0.3333, 0.6667, 0.4193)
Tm (0.6667, 0.3333, 0.5807)
Pb (0.3333, 0.6667, 0.7463)
Pb (0.6667, 0.3333, 0.2537)
C (0.0000, 0.0000, 0.0000)
C (0.0000, 0.0000, 0.5000)

- Raw total energy: -6.012 eV/atom
- Magnetization: 0.003 μB/atom
- Space group: P-3m1
- Crystal system: trigonal